# Cs2BF2, relaxed, DFT PBE-GGA
data_Cs2BF2
_chemical_formula_sum 'Cs4 B2 F4'
_space_group_name_H-M_alt 'I 4/m m m'
_space_group_IT_number 139
_space_group_name_Hall '-I 4 2'
_cell_length_a 5.9768
_cell_length_b 5.9768
_cell_length_c 8.8864
_cell_angle_alpha 90.00
_cell_angle_beta 90.00
_cell_angle_gamma 90.00
loop_
_atom_site_label
_atom_site_type_symbol
_atom_site_fract_x
_atom_site_fract_y
_atom_site_fract_z
_atom_site_occupancy
Cs1 Cs 0.0000 0.5000 0.2500 1
B1 B 0.0000 0.0000 0.0000 1
F1 F 0.0000 0.0000 0.2262 1
# Volume = 317 Å³/cell
# N(E_F) = 9.8 states/eV/cell
# ΔE_f (raw) = -0.97 eV per atom